[1]
Material: TbTmCuNi
Method: DFT, GGA-PBE
State: optimized geometry Values from VASP.

Computed properties:
The space group is No. 38. The value obtained for the energy above the lowest structure with this stoichiometry is 0 meV per atom.

The structure in Quantum ESPRESSO input format:
```
&SYSTEM
  ibrav = 0, nat = 8, ntyp = 4
/
ATOMIC_SPECIES
Tb 158.93 Tb.upf
Tm 168.93 Tm.upf
Cu 63.55 Cu.upf
Ni 58.69 Ni.upf
CELL_PARAMETERS angstrom
4.387 0.000 0.000
0.000 3.675 0.000
0.000 0.000 10.143
ATOMIC_POSITIONS crystal
Tb 0.000 0.000 0.000
Tb 0.000 0.500 0.500
Tm 0.500 0.000 0.279
Tm 0.500 0.500 0.779
Cu 0.500 0.000 0.569
Cu 0.500 0.500 0.069
Ni 0.000 0.000 0.714
Ni 0.000 0.500 0.214
```

=====

[2]
Material: TbTmCuNi
Method: DFT, GGA-PBE
State: optimized geometry Values from VASP.

Computed properties:
The space group is No. 216. The value obtained for the energy above the lowest structure with this stoichiometry is 34 meV per atom.

The structure in Quantum ESPRESSO input format:
```
&SYSTEM
  ibrav = 0, nat = 16, ntyp = 4
/
ATOMIC_SPECIES
Tb 158.93 Tb.upf
Tm 168.93 Tm.upf
Cu 63.55 Cu.upf
Ni 58.69 Ni.upf
CELL_PARAMETERS angstrom
6.806 0.000 0.000
0.000 6.806 0.000
0.000 0.000 6.806
ATOMIC_POSITIONS crystal
Tb 0.000 0.000 0.000
Tb 0.000 0.500 0.500
Tb 0.500 0.000 0.500
Tb 0.500 0.500 0.000
Tm 0.000 0.000 0.500
Tm 0.000 0.500 0.000
Tm 0.500 0.000 0.000
Tm 0.500 0.500 0.500
Cu 0.250 0.250 0.250
Cu 0.250 0.750 0.750
Cu 0.750 0.250 0.750
Cu 0.750 0.750 0.250
Ni 0.250 0.250 0.750
Ni 0.250 0.750 0.250
Ni 0.750 0.250 0.250
Ni 0.750 0.750 0.750
```

=====

[3]
Material: TbZnCu2Ni
Method: DFT, GGA-PBE
State: optimized geometry Values from VASP.

Computed properties:
The space group is No. 44.

The structure in Quantum ESPRESSO input format:
```
&SYSTEM
  ibrav = 0, nat = 10, ntyp = 4
/
ATOMIC_SPECIES
Tb 158.93 Tb.upf
Zn 65.41 Zn.upf
Cu 63.55 Cu.upf
Ni 58.69 Ni.upf
CELL_PARAMETERS angstrom
3.787 0.000 0.000
0.000 3.824 0.000
0.000 0.000 11.161
ATOMIC_POSITIONS crystal
Tb 0.000 0.000 0.000
Tb 0.500 0.500 0.500
Zn 0.000 0.500 0.760
Zn 0.500 0.000 0.260
Cu 0.000 0.000 0.616
Cu 0.000 0.500 0.262
Cu 0.500 0.000 0.762
Cu 0.500 0.500 0.116
Ni 0.000 0.000 0.402
Ni 0.500 0.500 0.902
```

=====

[4]
Material: Tb2ZnCu2Ni5
Method: DFT, GGA-PBE
State: optimized geometry Values from VASP.

Computed properties:
The space group is No. 127.

The structure in Quantum ESPRESSO input format:
```
&SYSTEM
  ibrav = 0, nat = 20, ntyp = 4
/
ATOMIC_SPECIES
Tb 158.93 Tb.upf
Zn 65.41 Zn.upf
Cu 63.55 Cu.upf
Ni 58.69 Ni.upf
CELL_PARAMETERS angstrom
8.915 0.000 0.000
0.000 8.915 0.000
0.000 0.000 3.700
ATOMIC_POSITIONS crystal
Tb 0.181 0.319 0.000
Tb 0.319 0.819 0.000
Tb 0.681 0.181 0.000
Tb 0.819 0.681 0.000
Zn 0.000 0.000 0.000
Zn 0.500 0.500 0.000
Cu 0.117 0.617 0.000
Cu 0.383 0.117 0.000
Cu 0.617 0.883 0.000
Cu 0.883 0.383 0.000
Ni 0.000 0.500 0.500
Ni 0.059 0.796 0.500
Ni 0.204 0.059 0.500
Ni 0.296 0.559 0.500
Ni 0.441 0.296 0.500
Ni 0.500 0.000 0.500
Ni 0.559 0.704 0.500
Ni 0.704 0.441 0.500
Ni 0.796 0.941 0.500
Ni 0.941 0.204 0.500
```

=====

[5]
Material: Tb2Zn12CuNi3
Method: DFT, GGA-PBE
State: optimized geometry Values from VASP.

Computed properties:
The space group is No. 166.

The structure in Quantum ESPRESSO input format:
```
&SYSTEM
  ibrav = 0, nat = 18, ntyp = 4
/
ATOMIC_SPECIES
Tb 158.93 Tb.upf
Zn 65.41 Zn.upf
Cu 63.55 Cu.upf
Ni 58.69 Ni.upf
CELL_PARAMETERS angstrom
4.445 2.566 4.166
-4.445 2.566 4.166
0.000 -5.132 4.166
ATOMIC_POSITIONS crystal
Tb 0.237 0.237 0.237
Tb 0.763 0.763 0.763
Zn 0.162 0.566 0.566
Zn 0.195 0.195 0.726
Zn 0.195 0.726 0.195
Zn 0.274 0.805 0.805
Zn 0.434 0.434 0.838
Zn 0.434 0.838 0.434
Zn 0.566 0.162 0.566
Zn 0.566 0.566 0.162
Zn 0.726 0.195 0.195
Zn 0.805 0.274 0.805
Zn 0.805 0.805 0.274
Zn 0.838 0.434 0.434
Cu 0.000 0.000 0.000
Ni 0.000 0.000 0.500
Ni 0.000 0.500 0.000
Ni 0.500 0.000 0.000
```

=====

[6]
Material: Tb2Zn2CuNi5
Method: DFT, GGA-PBE
State: optimized geometry Values from VASP.

Computed properties:
The space group is No. 127.

The structure in Quantum ESPRESSO input format:
```
&SYSTEM
  ibrav = 0, nat = 20, ntyp = 4
/
ATOMIC_SPECIES
Tb 158.93 Tb.upf
Zn 65.41 Zn.upf
Cu 63.55 Cu.upf
Ni 58.69 Ni.upf
CELL_PARAMETERS angstrom
9.174 0.000 0.000
0.000 9.174 0.000
0.000 0.000 3.569
ATOMIC_POSITIONS crystal
Tb 0.179 0.321 0.000
Tb 0.321 0.821 0.000
Tb 0.679 0.179 0.000
Tb 0.821 0.679 0.000
Zn 0.119 0.619 0.000
Zn 0.381 0.119 0.000
Zn 0.619 0.881 0.000
Zn 0.881 0.381 0.000
Cu 0.000 0.000 0.000
Cu 0.500 0.500 0.000
Ni 0.000 0.500 0.500
Ni 0.057 0.801 0.500
Ni 0.199 0.057 0.500
Ni 0.301 0.557 0.500
Ni 0.443 0.301 0.500
Ni 0.500 0.000 0.500
Ni 0.557 0.699 0.500
Ni 0.699 0.443 0.500
Ni 0.801 0.943 0.500
Ni 0.943 0.199 0.500
```

=====

[7]
Material: TbZn3CuNi
Method: DFT, GGA-PBE
State: optimized geometry Values from VASP.

Computed properties:
The space group is No. 63.

The structure in Quantum ESPRESSO input format:
```
&SYSTEM
  ibrav = 0, nat = 12, ntyp = 4
/
ATOMIC_SPECIES
Tb 158.93 Tb.upf
Zn 65.41 Zn.upf
Cu 63.55 Cu.upf
Ni 58.69 Ni.upf
CELL_PARAMETERS angstrom
2.898 -6.424 0.000
2.898 6.424 0.000
0.000 0.000 5.313
ATOMIC_POSITIONS crystal
Tb 0.208 0.792 0.750
Tb 0.792 0.208 0.250
Zn 0.211 0.211 0.000
Zn 0.211 0.211 0.500
Zn 0.356 0.644 0.250
Zn 0.644 0.356 0.750
Zn 0.789 0.789 0.000
Zn 0.789 0.789 0.500
Cu 0.413 0.587 0.750
Cu 0.587 0.413 0.250
Ni 0.150 0.850 0.250
Ni 0.850 0.150 0.750
```

=====

[8]
Material: Tb2Zn12Cu3Ni
Method: DFT, GGA-PBE
State: optimized geometry Values from VASP.

Computed properties:
The space group is No. 166.

The structure in Quantum ESPRESSO input format:
```
&SYSTEM
  ibrav = 0, nat = 18, ntyp = 4
/
ATOMIC_SPECIES
Tb 158.93 Tb.upf
Zn 65.41 Zn.upf
Cu 63.55 Cu.upf
Ni 58.69 Ni.upf
CELL_PARAMETERS angstrom
2.852 1.646 11.076
-2.852 1.646 11.076
0.000 -3.293 11.076
ATOMIC_POSITIONS crystal
Tb 0.141 0.141 0.141
Tb 0.859 0.859 0.859
Zn 0.099 0.099 0.642
Zn 0.099 0.642 0.099
Zn 0.113 0.611 0.611
Zn 0.358 0.901 0.901
Zn 0.389 0.389 0.887
Zn 0.389 0.887 0.389
Zn 0.611 0.113 0.611
Zn 0.611 0.611 0.113
Zn 0.642 0.099 0.099
Zn 0.887 0.389 0.389
Zn 0.901 0.358 0.901
Zn 0.901 0.901 0.358
Cu 0.000 0.500 0.500
Cu 0.500 0.000 0.500
Cu 0.500 0.500 0.000
Ni 0.500 0.500 0.500
```

=====

[9]
Material: Tb2Zn2Cu5Ni
Method: DFT, GGA-PBE
State: optimized geometry Values from VASP.

Computed properties:
The space group is No. 127.

The structure in Quantum ESPRESSO input format:
```
&SYSTEM
  ibrav = 0, nat = 20, ntyp = 4
/
ATOMIC_SPECIES
Tb 158.93 Tb.upf
Zn 65.41 Zn.upf
Cu 63.55 Cu.upf
Ni 58.69 Ni.upf
CELL_PARAMETERS angstrom
9.708 0.000 0.000
0.000 9.708 0.000
0.000 0.000 3.423
ATOMIC_POSITIONS crystal
Tb 0.177 0.323 0.000
Tb 0.323 0.823 0.000
Tb 0.677 0.177 0.000
Tb 0.823 0.677 0.000
Zn 0.123 0.623 0.000
Zn 0.377 0.123 0.000
Zn 0.623 0.877 0.000
Zn 0.877 0.377 0.000
Cu 0.000 0.500 0.500
Cu 0.050 0.815 0.500
Cu 0.185 0.050 0.500
Cu 0.315 0.550 0.500
Cu 0.450 0.315 0.500
Cu 0.500 0.000 0.500
Cu 0.550 0.685 0.500
Cu 0.685 0.450 0.500
Cu 0.815 0.950 0.500
Cu 0.950 0.185 0.500
Ni 0.000 0.000 0.000
Ni 0.500 0.500 0.000
```

=====

[10]
Material: CuTcNi
Method: DFT, GGA-PBE
State: optimized geometry Values from VASP.

Computed properties:
The space group is No. 44. The value obtained for the energy above the lowest structure with this stoichiometry is 63 meV per atom.

The structure in Quantum ESPRESSO input format:
```
&SYSTEM
  ibrav = 0, nat = 6, ntyp = 3
/
ATOMIC_SPECIES
Cu 63.55 Cu.upf
Tc 98.00 Tc.upf
Ni 58.69 Ni.upf
CELL_PARAMETERS angstrom
2.553 0.000 0.000
0.000 3.774 0.000
0.000 0.000 7.780
ATOMIC_POSITIONS crystal
Cu 0.000 0.000 0.000
Cu 0.500 0.500 0.500
Tc 0.000 0.000 0.330
Tc 0.500 0.500 0.830
Ni 0.000 0.000 0.667
Ni 0.500 0.500 0.167
```

=====

[11]
Material: CuTcNi2
Method: DFT, GGA-PBE
State: optimized geometry Values from VASP.

Computed properties:
The space group is No. 225. The value obtained for the energy above the lowest structure with this stoichiometry is 216 meV per atom.

The structure in Quantum ESPRESSO input format:
```
&SYSTEM
  ibrav = 0, nat = 16, ntyp = 3
/
ATOMIC_SPECIES
Cu 63.55 Cu.upf
Tc 98.00 Tc.upf
Ni 58.69 Ni.upf
CELL_PARAMETERS angstrom
5.791 0.000 0.000
0.000 5.791 0.000
0.000 0.000 5.791
ATOMIC_POSITIONS crystal
Cu 0.000 0.000 0.000
Cu 0.000 0.500 0.500
Cu 0.500 0.000 0.500
Cu 0.500 0.500 0.000
Tc 0.000 0.000 0.500
Tc 0.000 0.500 0.000
Tc 0.500 0.000 0.000
Tc 0.500 0.500 0.500
Ni 0.250 0.250 0.250
Ni 0.250 0.250 0.750
Ni 0.250 0.750 0.250
Ni 0.250 0.750 0.750
Ni 0.750 0.250 0.250
Ni 0.750 0.250 0.750
Ni 0.750 0.750 0.250
Ni 0.750 0.750 0.750
```

=====

Computed magnetic moment (μB per cell) in order:
0.0; 0.0; 0.0; 0.0; 0.0; 0.0; 0.0; 0.0; 0.0; 0.7; 0.0
Computed raw total energy (eV per cell) in order:
-40.94; -81.34; -42.27; -100.14; -47.45; -93.49; -38.20; -43.17; -77.35; -39.38; -100.87
Computed formation energy (meV/atom) in order:
-372.4; -338.8; -251.1; -243.6; -81.0; -193.2; -128.4; -30.8; -60.3; 183.9; 201.9